(1)
Density functional theory data (PBE-GGA) for a relaxed Ge3O crystal.

Summary:
DFT total energy   -17.84 eV/cell
E_form (uncorrected)   0.24 eV/atom
Total moment   0.1 μB/cell

Cell lengths 5.9676, 5.9676, 5.9676 Å; angles 145.45, 145.45, 49.67 degrees
Last column: nearest neighbours and their distance in Å.
Element x y z (fractional)
Ge: 0.7500 0.2500 0.5000  4 Ge 2.51
Ge: 0.2500 0.7500 0.5000  4 Ge 2.51
Ge: 0.5000 0.5000 0.0000  4 O 2.51
O: 0.0000 0.0000 0.0000  4 Ge 2.51



(2)
Density functional theory data (PBE-GGA) for a relaxed Y2BeBrN crystal.

Summary:
DFT total energy   -21.78 eV/cell
E_form (uncorrected)   0.97 eV/atom
Total moment   0.0 μB/cell

Cell lengths 5.2488, 3.9868, 5.2488 Å; angles 90.00, 90.00, 90.00 degrees
Last column: nearest neighbours and their distance in Å.
Element x y z (fractional)
Be: 0.0000 0.5000 0.0000  2 Br 1.99
N: 0.5000 0.5000 0.5000  8 Y 3.30
Br: 0.0000 0.0000 0.0000  2 Be 1.99
Y: 0.0000 0.0000 0.5000  2 Br 2.62
Y: 0.5000 0.0000 0.0000  2 Br 2.62